DFT (GGA-PBEsol) results for crystalline Zr2NiSe at its relaxed geometry. Values from VASP.

Values from the calculation:
The formation energy without anion corrections comes out at -0.55 eV per atom. Its symmetry is I4/mmm. The density of states at the Fermi level is 4.0 states/eV/f.u. The value obtained for the total moment is 0.0 μB/f.u. As for the electronic total energy: -7.599 eV/atom.

```
&SYSTEM
  ibrav = 0, nat = 8, ntyp = 3
/
ATOMIC_SPECIES
Zr 91.22 Zr.upf
Ni 58.69 Ni.upf
Se 78.96 Se.upf
ATOMIC_POSITIONS crystal
Zr 0.000 0.500 0.250
Zr 0.000 0.500 0.750
Zr 0.500 0.000 0.250
Zr 0.500 0.000 0.750
Ni 0.000 0.000 0.000
Ni 0.500 0.500 0.500
Se 0.000 0.000 0.500
Se 0.500 0.500 0.000
CELL_PARAMETERS angstrom
4.317 0.000 0.000
0.000 4.317 0.000
0.000 0.000 7.317
```

---

DFT (GGA-PBEsol) results for crystalline Rb2O at its relaxed geometry. Values from VASP.

Values from the calculation:
The formation energy without anion corrections comes out at -0.93 eV per atom. Its symmetry is Pbca. The value obtained for the total moment is 0.0 μB/f.u. As for the electronic total energy: -3.367 eV/atom.

```
&SYSTEM
  ibrav = 0, nat = 24, ntyp = 2
/
ATOMIC_SPECIES
Rb 85.47 Rb.upf
O 16.00 O.upf
ATOMIC_POSITIONS crystal
Rb 0.002 0.021 0.240
Rb 0.002 0.479 0.740
Rb 0.148 0.205 0.618
Rb 0.148 0.295 0.118
Rb 0.352 0.705 0.618
Rb 0.352 0.795 0.118
Rb 0.498 0.521 0.240
Rb 0.498 0.979 0.740
Rb 0.502 0.021 0.260
Rb 0.502 0.479 0.760
Rb 0.648 0.205 0.882
Rb 0.648 0.295 0.382
Rb 0.852 0.705 0.882
Rb 0.852 0.795 0.382
Rb 0.998 0.521 0.260
Rb 0.998 0.979 0.760
O 0.232 0.615 0.966
O 0.232 0.885 0.466
O 0.268 0.115 0.966
O 0.268 0.385 0.466
O 0.732 0.615 0.534
O 0.732 0.885 0.034
O 0.768 0.115 0.534
O 0.768 0.385 0.034
CELL_PARAMETERS angstrom
6.684 0.000 0.000
0.000 13.349 0.000
0.000 0.000 6.882
```

---

DFT (GGA-PBEsol) results for crystalline TaAl4Ir at its relaxed geometry. Values from VASP.

Values from the calculation:
Its symmetry is F-43m. The density of states at the Fermi level is 4.1 states/eV/f.u. The value obtained for the total moment is 0.0 μB/f.u. The energy relative to the elements comes out at 0.019 eV per atom. As for the electronic total energy: -6.437 eV/atom.

```
&SYSTEM
  ibrav = 0, nat = 6, ntyp = 3
/
ATOMIC_SPECIES
Ta 180.95 Ta.upf
Al 26.98 Al.upf
Ir 192.22 Ir.upf
ATOMIC_POSITIONS crystal
Ta 0.000 0.000 0.000
Al 0.375 0.375 0.375
Al 0.375 0.375 0.875
Al 0.375 0.875 0.375
Al 0.875 0.375 0.375
Ir 0.750 0.750 0.750
CELL_PARAMETERS angstrom
0.000 3.543 3.543
3.543 0.000 3.543
3.543 3.543 0.000
```

---

DFT (GGA-PBEsol) results for crystalline FeHg2Ru at its relaxed geometry. Values from VASP.

Values from the calculation:
As for the energy above the most stable polymorph in this dataset: 47 meV/atom. Its symmetry is R-3m. The density of states at the Fermi level is 4.4 states/eV/f.u. The value obtained for the total moment is 3.1 μB/f.u. The energy relative to the elements comes out at 0.565 eV per atom. As for the electronic total energy: -4.502 eV/atom.

```
&SYSTEM
  ibrav = 0, nat = 12, ntyp = 3
/
ATOMIC_SPECIES
Fe 55.84 Fe.upf
Hg 200.59 Hg.upf
Ru 101.07 Ru.upf
ATOMIC_POSITIONS crystal
Fe 0.000 0.000 0.000
Fe 0.333 0.667 0.667
Fe 0.667 0.333 0.333
Hg 0.000 0.000 0.252
Hg 0.000 0.000 0.748
Hg 0.333 0.667 0.415
Hg 0.333 0.667 0.918
Hg 0.667 0.333 0.082
Hg 0.667 0.333 0.585
Ru 0.000 0.000 0.500
Ru 0.333 0.667 0.167
Ru 0.667 0.333 0.833
CELL_PARAMETERS angstrom
2.896 0.000 0.000
-1.448 2.508 0.000
0.000 0.000 26.814
```

---

DFT (GGA-PBEsol) results for crystalline AlAs3 at its relaxed geometry. Values from VASP.

Values from the calculation:
As for the energy above the most stable polymorph in this dataset: 0 meV/atom. Its symmetry is Pmm2. The density of states at the Fermi level is 1.7 states/eV/f.u. The value obtained for the total moment is 0.0 μB/f.u. The energy relative to the elements comes out at 0.107 eV per atom. As for the electronic total energy: -4.746 eV/atom.

```
&SYSTEM
  ibrav = 0, nat = 4, ntyp = 2
/
ATOMIC_SPECIES
Al 26.98 Al.upf
As 74.92 As.upf
ATOMIC_POSITIONS crystal
Al 0.000 0.000 0.000
As 0.000 0.500 0.488
As 0.500 0.000 0.669
As 0.500 0.500 0.147
CELL_PARAMETERS angstrom
3.413 0.000 0.000
0.000 3.610 0.000
0.000 0.000 6.237
```

---

DFT (GGA-PBEsol) results for crystalline DyB2 at its relaxed geometry. Values from VASP.

Values from the calculation:
Its symmetry is P6/mmm. The density of states at the Fermi level is 1.1 states/eV/f.u. The value obtained for the total moment is 0.0 μB/f.u. The energy relative to the elements comes out at -0.636 eV per atom. As for the electronic total energy: -6.973 eV/atom.

```
&SYSTEM
  ibrav = 0, nat = 3, ntyp = 2
/
ATOMIC_SPECIES
Dy 162.50 Dy.upf
B 10.81 B.upf
ATOMIC_POSITIONS crystal
Dy 0.000 0.000 0.000
B 0.333 0.667 0.500
B 0.667 0.333 0.500
CELL_PARAMETERS angstrom
3.269 0.000 0.000
-1.635 2.831 0.000
0.000 0.000 3.828
```

---

Repeat the second record exactly.
DFT (GGA-PBEsol) results for crystalline Rb2O at its relaxed geometry. Values from VASP.

Values from the calculation:
The formation energy without anion corrections comes out at -0.93 eV per atom. Its symmetry is Pbca. The value obtained for the total moment is 0.0 μB/f.u. As for the electronic total energy: -3.367 eV/atom.

```
&SYSTEM
  ibrav = 0, nat = 24, ntyp = 2
/
ATOMIC_SPECIES
Rb 85.47 Rb.upf
O 16.00 O.upf
ATOMIC_POSITIONS crystal
Rb 0.002 0.021 0.240
Rb 0.002 0.479 0.740
Rb 0.148 0.205 0.618
Rb 0.148 0.295 0.118
Rb 0.352 0.705 0.618
Rb 0.352 0.795 0.118
Rb 0.498 0.521 0.240
Rb 0.498 0.979 0.740
Rb 0.502 0.021 0.260
Rb 0.502 0.479 0.760
Rb 0.648 0.205 0.882
Rb 0.648 0.295 0.382
Rb 0.852 0.705 0.882
Rb 0.852 0.795 0.382
Rb 0.998 0.521 0.260
Rb 0.998 0.979 0.760
O 0.232 0.615 0.966
O 0.232 0.885 0.466
O 0.268 0.115 0.966
O 0.268 0.385 0.466
O 0.732 0.615 0.534
O 0.732 0.885 0.034
O 0.768 0.115 0.534
O 0.768 0.385 0.034
CELL_PARAMETERS angstrom
6.684 0.000 0.000
0.000 13.349 0.000
0.000 0.000 6.882
```

---

electronic total energy of number 6 (DyB2)?
-6.973 eV/atom

---

Look up the total moment of the sixth one.
0.0 μB/f.u.

---

What did the sixth record say?
DFT (GGA-PBEsol) results for crystalline DyB2 at its relaxed geometry. Values from VASP.

Values from the calculation:
Its symmetry is P6/mmm. The density of states at the Fermi level is 1.1 states/eV/f.u. The value obtained for the total moment is 0.0 μB/f.u. The energy relative to the elements comes out at -0.636 eV per atom. As for the electronic total energy: -6.973 eV/atom.

```
&SYSTEM
  ibrav = 0, nat = 3, ntyp = 2
/
ATOMIC_SPECIES
Dy 162.50 Dy.upf
B 10.81 B.upf
ATOMIC_POSITIONS crystal
Dy 0.000 0.000 0.000
B 0.333 0.667 0.500
B 0.667 0.333 0.500
CELL_PARAMETERS angstrom
3.269 0.000 0.000
-1.635 2.831 0.000
0.000 0.000 3.828
```